## WS2NF (PBE+U)

Data for a relaxed WS2NF crystal.

POSCAR file:
```
WS2NF
1.0
4.779 0.000 0.000
0.000 4.779 0.000
0.000 0.000 3.909
W S N F
1 2 1 1
direct
0.000 0.000 0.000 W
0.000 0.500 0.000 S
0.500 0.000 0.000 S
0.000 0.000 0.500 N
0.500 0.500 0.500 F
```

Results
* E above lowest polymorph: 0.000 eV per atom
* crystal system: tetragonal
* symmetry: P4/mmm
* magnetic moment: 2.0 μB per formula unit